Material: Li2MnCr
Method: DFT, SCAN
State: PBEsol geometry

a = 2.2774 Å, b = 3.8930 Å, c = 5.4931 Å
α = 90.00°, β = 90.00°, γ = 90.00°
Closest atoms and distances in Å follow each position.
Space group Pmm2 (No. 25)
One atom of each set of equivalent atoms:
Li 0.0000 0.0000 0.0000 [1 per cell]  2 Li 2.28
Li 0.5000 0.5000 0.2384 [1 per cell]  2 Li 2.28
Mn 0.0000 0.0000 0.5287 [1 per cell]  2 Mn 2.28, 4 Cr 2.45
Cr 0.5000 0.5000 0.7039 [1 per cell]  2 Cr 2.28, 4 Mn 2.45

Properties
- D(E_F) (states/eV/atom) = 0.615
- total energy (eV per atom) = -9.97
- energy of formation (eV per formula unit) = 1.5